Density functional theory data (PBE+U) for an optimized crystal structure of CrNiI2O.

Summary:
As for the offset from the most stable computed form: 203.7 meV per atom. The calculation puts the energy at -3.56 eV per atom. Its total magnetization is 1.38 μB/atom.

a = 5.513 Å, b = 5.513 Å, c = 3.677 Å
α = 90.00°, β = 90.00°, γ = 90.00°
Space group P4/mmm (No. 123)
Inequivalent atoms, fractional coordinates:
Cr 0.000 0.000 0.000 [1 per cell]
Ni 0.500 0.500 0.500 [1 per cell]
I 0.000 0.500 0.500 [2 per cell]
O 0.500 0.500 0.000 [1 per cell]